! PuGePd (PBE, relaxed); values from VASP
&SYSTEM
  ibrav = 0, nat = 3, ntyp = 3
/
ATOMIC_SPECIES
Pu 244.00 Pu.upf
Ge 72.64 Ge.upf
Pd 106.42 Pd.upf
CELL_PARAMETERS angstrom
3.519 0.000 0.000
0.000 4.471 0.000
0.000 -2.235 3.872
ATOMIC_POSITIONS crystal
Pu 0.667 0.667 0.333
Ge 0.167 0.333 0.667
Pd 0.167 0.000 0.000
! ρ (g cm⁻³): 11.53
! Total energy (eV for the cell shown): -25.96
! Formation energy from the elements (meV/atom): -605
! M_tot (μB per formula unit): 5.059